Entry from Alexandria via LeMat-Bulk: a relaxed structure of CaCu3S (PBE).

POSCAR file:
```
CaCu3S
1.0
4.981 0.000 0.000
0.000 4.981 0.000
0.000 0.000 4.981
Ca Cu S
1 3 1
Direct
0.000 0.000 0.000
0.000 0.000 0.500
0.000 0.500 0.000
0.500 0.000 0.000
0.500 0.500 0.500
```

Values from the calculation:
ρ = 3.53 g/cm³
energy = -2.22 eV/atom
ΔE_f (raw) = 1.460 eV per atom